## CrHgOs2 (PBE-GGA)

Data for crystalline CrHgOs2 at its relaxed geometry.

Computed properties:
ΔE_f (eV/atom): 0.689

a = 2.8096 Å, b = 4.0664 Å, c = 5.5609 Å
α = 90.00°, β = 100.40°, γ = 90.00°
Closest atoms and distances in Å follow each position.
Space group P2/m (No. 10)
Asymmetric unit:
Cr: 0.0000 0.0000 0.0000  4 Os 2.49, 2 Hg 2.78
Hg: 0.0000 0.0000 0.5000  2 Cr 2.78, 2 Hg 2.81, 8 Os 2.89-2.96
Os: 0.3736 0.5000 0.2134  2 Cr 2.49, 1 Os 2.60

=====

## CrHgOs2 (PBE-GGA)

Data for crystalline CrHgOs2 at its relaxed geometry.

Computed properties:
ΔE_f (eV/atom): 0.723

a = 3.9058 Å, b = 3.9058 Å, c = 8.0290 Å
α = 90.00°, β = 90.00°, γ = 90.00°
Closest atoms and distances in Å follow each position.
Space group I-4m2 (No. 119)
Asymmetric unit:
Cr: 0.0000 0.0000 0.0000  8 Os 2.76-2.80, 4 Hg 2.80
Hg: 0.0000 0.5000 0.7500  8 Os 2.76-2.80, 4 Cr 2.80
Os: 0.0000 0.0000 0.5000  4 Cr 2.76, 4 Hg 2.80, 4 Os 2.80
Os: 0.0000 0.5000 0.2500  4 Hg 2.76, 4 Cr 2.80, 4 Os 2.80

=====

Size of the total moment (computed, μB per formula unit): 1.14 2.32